# 1
VASP calculation (PBE) on a relaxed structure of Ba5Ga6H2.

**Final energy**: -81.601 eV/cell
**M_tot**: 0.0 μB per cell
**Crystal system**: trigonal

a b c (Å): 7.8291 7.8291 14.4926
angles (deg): 90.00 90.00 120.00
Element x y z (fractional)
Ba  0.0000  0.3560  0.2500
Ba  0.0000  0.6440  0.7500
Ba  0.3333  0.6667  0.0164
Ba  0.3333  0.6667  0.5164
Ba  0.3560  0.0000  0.2500
Ba  0.3560  0.3560  0.7500
Ba  0.6440  0.0000  0.7500
Ba  0.6440  0.6440  0.2500
Ba  0.6667  0.3333  0.4836
Ba  0.6667  0.3333  0.9836
Ga  0.0158  0.2084  0.9223
Ga  0.0158  0.8074  0.4223
Ga  0.1926  0.2084  0.4223
Ga  0.1926  0.9842  0.9223
Ga  0.2084  0.0158  0.5777
Ga  0.2084  0.1926  0.0777
Ga  0.7916  0.8074  0.9223
Ga  0.7916  0.9842  0.4223
Ga  0.8074  0.0158  0.0777
Ga  0.8074  0.7916  0.5777
Ga  0.9842  0.1926  0.5777
Ga  0.9842  0.7916  0.0777
H  0.3333  0.6667  0.2017
H  0.3333  0.6667  0.7017
H  0.6667  0.3333  0.2983
H  0.6667  0.3333  0.7983


# 2
VASP calculation (PBE) on a relaxed structure of Ga2PbF8.

**Final energy**: -51.921 eV/cell
**M_tot**: 0.1 μB per cell
**Offset from the most stable computed form**: 0.021 eV/atom
**Crystal system**: monoclinic

a b c (Å): 5.8706 5.8706 5.4424
angles (deg): 95.81 95.81 63.00
Element x y z (fractional)
Ga  0.2171  0.2171  0.4863
Ga  0.7829  0.7829  0.5137
Pb  0.5000  0.5000  0.0000
F  0.1082  0.1082  0.7243
F  0.1440  0.5686  0.6499
F  0.3048  0.3048  0.2058
F  0.4314  0.8560  0.3501
F  0.5686  0.1440  0.6499
F  0.6952  0.6952  0.7942
F  0.8560  0.4314  0.3501
F  0.8918  0.8918  0.2757


# 3
VASP calculation (PBE) on a relaxed structure of FeRhW2.

**Final energy**: -122.842 eV/cell
**M_tot**: 2.4 μB per cell
**Offset from the most stable computed form**: 0.210 eV/atom
**Crystal system**: trigonal

a b c (Å): 2.7606 2.7606 26.3032
angles (deg): 90.00 90.00 120.00
Element x y z (fractional)
Fe  0.0000  0.0000  0.0000
Fe  0.3333  0.6667  0.6667
Fe  0.6667  0.3333  0.3333
Rh  0.0000  0.0000  0.5000
Rh  0.3333  0.6667  0.1667
Rh  0.6667  0.3333  0.8333
W  0.0000  0.0000  0.2529
W  0.0000  0.0000  0.7471
W  0.3333  0.6667  0.4138
W  0.3333  0.6667  0.9196
W  0.6667  0.3333  0.0804
W  0.6667  0.3333  0.5862


# 4
VASP calculation (PBE) on a relaxed structure of Zr2HgRu.

**Final energy**: -54.734 eV/cell
**M_tot**: 0.0 μB per cell
**Crystal system**: monoclinic

a b c (Å): 11.1289 3.3714 4.7235
angles (deg): 90.00 114.96 90.00
Element x y z (fractional)
Zr  0.0000  0.0000  0.0000
Zr  0.2225  0.0000  0.7227
Zr  0.5000  0.5000  0.0000
Zr  0.7225  0.5000  0.7227
Hg  0.2773  0.5000  0.2773
Hg  0.7773  0.0000  0.2773
Ru  0.0142  0.5000  0.5132
Ru  0.5142  0.0000  0.5132


# 5
VASP calculation (PBE) on a relaxed structure of ZrTcNi2.

**Final energy**: -63.021 eV/cell
**M_tot**: 0.0 μB per cell
**Offset from the most stable computed form**: 0.006 eV/atom
**Crystal system**: monoclinic

a b c (Å): 4.8910 4.2564 5.5948
angles (deg): 90.00 96.38 90.00
Element x y z (fractional)
Zr  0.2181  0.2500  0.4517
Zr  0.7819  0.7500  0.5483
Tc  0.1485  0.2500  0.9651
Tc  0.8515  0.7500  0.0349
Ni  0.3304  0.7500  0.7643
Ni  0.3722  0.7500  0.2014
Ni  0.6278  0.2500  0.7986
Ni  0.6696  0.2500  0.2357


# 6
VASP calculation (PBE) on a relaxed structure of Ba3SiP3.

**Final energy**: -133.440 eV/cell
**M_tot**: 0.0 μB per cell
**Crystal system**: orthorhombic

a b c (Å): 10.2263 10.2263 12.9639
angles (deg): 90.00 90.00 38.49
Element x y z (fractional)
Ba  0.0030  0.3501  0.8684
Ba  0.1499  0.4970  0.6316
Ba  0.1587  0.8413  0.8504
Ba  0.3413  0.6587  0.3504
Ba  0.3501  0.0030  0.1316
Ba  0.4970  0.1499  0.3684
Ba  0.5030  0.8501  0.6316
Ba  0.6499  0.9970  0.8684
Ba  0.6587  0.3413  0.6496
Ba  0.8413  0.1587  0.1496
Ba  0.8501  0.5030  0.3684
Ba  0.9970  0.6499  0.1316
Si  0.0849  0.0849  0.5000
Si  0.4151  0.4151  0.0000
Si  0.5849  0.5849  0.0000
Si  0.9151  0.9151  0.5000
P  0.0208  0.6713  0.3872
P  0.1713  0.5208  0.8872
P  0.1791  0.8209  0.5927
P  0.3209  0.6791  0.0927
P  0.3287  0.9792  0.3872
P  0.4792  0.8287  0.8872
P  0.5208  0.1713  0.1128
P  0.6713  0.0208  0.6128
P  0.6791  0.3209  0.9073
P  0.8209  0.1791  0.4073
P  0.8287  0.4792  0.1128
P  0.9792  0.3287  0.6128


# 7
VASP calculation (PBE) on a relaxed structure of Sm3ZnC.

**Final energy**: -51.131 eV/cell
**M_tot**: 0.0 μB per cell
**Offset from the most stable computed form**: 0.000 eV/atom
**Crystal system**: monoclinic

a b c (Å): 7.6512 7.6512 8.8638
angles (deg): 92.10 92.10 28.15
Element x y z (fractional)
Sm  0.0486  0.0486  0.2748
Sm  0.2462  0.2462  0.6766
Sm  0.3505  0.3505  0.0326
Sm  0.6495  0.6495  0.9674
Sm  0.7538  0.7538  0.3234
Sm  0.9514  0.9514  0.7252
Zn  0.4128  0.4128  0.4410
Zn  0.5872  0.5872  0.5590
C  0.1955  0.1955  0.1505
C  0.8045  0.8045  0.8495


# 8
VASP calculation (PBE) on a relaxed structure of Sr2AgPb2.

**Final energy**: -28.911 eV/cell
**M_tot**: 0.0 μB per cell
**Offset from the most stable computed form**: 0.293 eV/atom
**Crystal system**: tetragonal

a b c (Å): 8.9446 8.9446 4.6396
angles (deg): 90.00 90.00 90.00
Element x y z (fractional)
Sr  0.1803  0.3197  0.0000
Sr  0.3197  0.8197  0.0000
Sr  0.6803  0.1803  0.0000
Sr  0.8197  0.6803  0.0000
Ag  0.0000  0.0000  0.0000
Ag  0.5000  0.5000  0.0000
Pb  0.1177  0.6177  0.5000
Pb  0.3823  0.1177  0.5000
Pb  0.6177  0.8823  0.5000
Pb  0.8823  0.3823  0.5000


# 9
VASP calculation (PBE) on a relaxed structure of RbSbCl14.

**Final energy**: -38.338 eV/cell
**M_tot**: 0.0 μB per cell
**Crystal system**: triclinic

a b c (Å): 8.2620 8.7845 10.9724
angles (deg): 93.76 111.77 111.33
Element x y z (fractional)
Rb  0.0000  0.0000  0.0000
Sb  0.5293  0.1110  0.3947
Cl  0.0235  0.1863  0.7267
Cl  0.0829  0.4355  0.7780
Cl  0.1340  0.7705  0.8376
Cl  0.2538  0.8528  0.2592
Cl  0.3899  0.2838  0.2726
Cl  0.4387  0.0000  0.9063
Cl  0.4434  0.1439  0.5737
Cl  0.5821  0.7703  0.4800
Cl  0.6037  0.7643  0.0475
Cl  0.7087  0.5973  0.1210
Cl  0.7214  0.2140  0.9669
Cl  0.8285  0.7815  0.6329
Cl  0.8701  0.3432  0.2464
Cl  0.9811  0.4376  0.4497


# 10
VASP calculation (PBE) on a relaxed structure of FeAg2Sb.

**Final energy**: -16.845 eV/cell
**M_tot**: 2.9 μB per cell
**Crystal system**: tetragonal

a b c (Å): 2.9971 2.9971 8.5140
angles (deg): 90.00 90.00 90.00
Element x y z (fractional)
Fe  0.0000  0.0000  0.0000
Ag  0.5000  0.5000  0.2117
Ag  0.5000  0.5000  0.7883
Sb  0.0000  0.0000  0.5000


# 11
VASP calculation (PBE) on a relaxed structure of As3IN.

**Final energy**: -10.881 eV/cell
**M_tot**: 0.0 μB per cell
**Offset from the most stable computed form**: 1.603 eV/atom
**Crystal system**: cubic

a b c (Å): 5.3433 5.3433 5.3433
angles (deg): 90.00 90.00 90.00
Element x y z (fractional)
As  0.0000  0.0000  0.5000
As  0.0000  0.5000  0.0000
As  0.5000  0.0000  0.0000
I  0.0000  0.0000  0.0000
N  0.5000  0.5000  0.5000


# 12
VASP calculation (PBE) on a relaxed structure of Th6P2PdSe3.

**Final energy**: -87.939 eV/cell
**M_tot**: 0.0 μB per cell
**Crystal system**: monoclinic

a b c (Å): 9.4300 9.4300 8.5253
angles (deg): 103.47 103.47 25.29
Element x y z (fractional)
Th  0.0061  0.0061  0.2429
Th  0.3297  0.3297  0.4283
Th  0.3331  0.3331  0.9022
Th  0.6669  0.6669  0.0978
Th  0.6703  0.6703  0.5717
Th  0.9939  0.9939  0.7571
P  0.1681  0.1681  0.3346
P  0.8319  0.8319  0.6654
Pd  0.5000  0.5000  0.0000
Se  0.1647  0.1647  0.8325
Se  0.5000  0.5000  0.5000
Se  0.8353  0.8353  0.1675